# 1
A relaxed Rb3Tb3ScTe8 crystal. Source: Alexandria via LeMat-Bulk, functional PBE. Values from VASP.

Calculated values
calculated volume: 39.299 Å³/atom
SG: R-3m, No. 166
formation energy (no corrections): -1.284 eV per atom
Fermi-level density of states: 0.40 states/eV/atom

```
&SYSTEM
  ibrav = 0, nat = 15, ntyp = 4
/
ATOMIC_SPECIES
Tb 158.93 Tb.upf
Rb 85.47 Rb.upf
Te 127.60 Te.upf
Sc 44.96 Sc.upf
CELL_PARAMETERS angstrom
8.7506 0.0000 0.0000
-4.3753 7.5780 -0.0363
0.0000 -5.0111 8.9135
ATOMIC_POSITIONS crystal
Tb 0.5000 0.5000 0.5000
Tb 0.0000 0.5000 0.5000
Tb 0.5000 0.0000 0.5000
Rb 0.5000 0.5000 0.0000
Rb 0.0000 0.5000 0.0000
Rb 0.0000 0.0000 0.0000
Te 0.2659 0.5318 0.2980
Te 0.7341 0.4682 0.7020
Te 0.2259 0.9690 0.6945
Te 0.7431 0.9690 0.6945
Te 0.2259 0.4518 0.6945
Te 0.7741 0.0310 0.3055
Te 0.7741 0.5482 0.3055
Te 0.2569 0.0310 0.3055
Sc 0.0000 0.0000 0.5000
```


# 2
A relaxed Rb3TbSc2Te6 crystal. Source: Alexandria via LeMat-Bulk, functional PBE. Values from VASP.

Calculated values
calculated volume: 35.837 Å³/atom
SG: C2/m, No. 12
formation energy (no corrections): -1.284 eV per atom

```
&SYSTEM
  ibrav = 0, nat = 12, ntyp = 4
/
ATOMIC_SPECIES
Rb 85.47 Rb.upf
Te 127.60 Te.upf
Sc 44.96 Sc.upf
Tb 158.93 Tb.upf
CELL_PARAMETERS angstrom
-1.7178 3.5155 6.5609
-1.8620 -7.3407 -1.0013
8.7124 -1.0689 1.3684
ATOMIC_POSITIONS crystal
Rb 0.5000 0.5000 0.5000
Rb 0.8370 0.1630 0.5000
Rb 0.1630 0.8370 0.5000
Te 0.4101 0.0646 0.1932
Te 0.9354 0.5899 0.8068
Te 0.2818 0.2818 0.8082
Te 0.0646 0.4101 0.1932
Te 0.5899 0.9354 0.8068
Te 0.7182 0.7182 0.1918
Sc 0.3328 0.6672 0.0000
Sc 0.6672 0.3328 0.0000
Tb 0.0000 0.0000 0.0000
```


# 3
A relaxed RbScTc crystal. Source: Alexandria via LeMat-Bulk, functional PBE. Values from VASP.

Calculated values
calculated volume: 37.948 Å³/atom
SG: P1, No. 1
Fermi-level density of states: 0.84 states/eV/atom
DFT formation energy: 0.3622 eV/atom

```
&SYSTEM
  ibrav = 0, nat = 6, ntyp = 3
/
ATOMIC_SPECIES
Tc 98.00 Tc.upf
Sc 44.96 Sc.upf
Rb 85.47 Rb.upf
CELL_PARAMETERS angstrom
4.1917 0.0013 -0.0001
2.0937 4.3790 -0.0006
1.8068 1.6954 12.4061
ATOMIC_POSITIONS crystal
Tc 0.7189 0.3891 0.4620
Tc 0.3608 0.1446 0.4162
Sc 0.0533 0.7912 0.3793
Sc 0.7814 0.4372 0.2605
Rb 0.5416 0.1228 0.0189
Rb 0.9686 0.7078 0.6734
```